[1]
A relaxed DyHf2Fe9 crystal, computed with PBE-GGA.

a = 4.9719 Å, b = 4.9719 Å, c = 23.8014 Å
α = 90.00°, β = 90.00°, γ = 120.00°
Space group R-3m (No. 166, hexagonal axes)
One atom of each set of equivalent atoms:
Dy1 0.0000 0.0000 0.0000 [3 per cell]
Hf1 0.0000 0.0000 0.1428 [6 per cell]
Fe1 0.0000 0.0000 0.3330 [6 per cell]
Fe2 0.0000 0.0000 0.5000 [3 per cell]
Fe3 0.0030 0.5015 0.9150 [18 per cell]

Properties
E_form, meV per atom: -219

---

[2]
A relaxed DyHfFe2 crystal, computed with PBE-GGA.

a = 3.210 Å, b = 3.210 Å, c = 6.519 Å
α = 90.00°, β = 90.00°, γ = 90.00°
Space group P4/mmm (No. 123)
One atom of each set of equivalent atoms:
Dy1 0.000 0.000 0.000 [1 per cell]
Hf1 0.000 0.000 0.500 [1 per cell]
Fe1 0.500 0.500 0.275 [2 per cell]

Properties
E_form, meV per atom: -41

---

[3]
A relaxed DyHfFe4 crystal, computed with PBE-GGA.

a = 7.121 Å, b = 7.121 Å, c = 7.121 Å
α = 90.00°, β = 90.00°, γ = 90.00°
Space group F-43m (No. 216)
One atom of each set of equivalent atoms:
Dy1 0.000 0.000 0.000 [4 per cell]
Hf1 0.250 0.250 0.250 [4 per cell]
Fe1 0.125 0.125 0.625 [16 per cell]

Properties
E_form, meV per atom: -189

---

| no. | density of states at the Fermi level (states/eV/cell) | magnetization (μB/cell) |
| --- | --- | --- |
| 1 | 28.903 | 49.03 |
| 2 | 5.623 | 0.41 |
| 3 | 13.267 | 25.68 |